No. 1
Compound: MnAlIn
Source: the Alexandria database
Functional: GGA-PBE
Structure: optimized geometry

Summary:
- raw total energy (eV per atom) = -5.01
- distance to the lowest polymorph of the same formula (meV per atom) = 100
- formation energy (meV/atom) = 204
- SG = F-43m

Lattice parameters (Å, degrees): 4.400 4.400 4.400 60.00 60.00 60.00
Fractional coordinates of all 3 atoms:
Mn  0.750  0.750  0.750
In  0.500  0.500  0.500
Al  0.000  0.000  0.000

=====

No. 2
Compound: YEr8Sc2
Source: the Alexandria database
Functional: GGA-PBE
Structure: optimized geometry

Summary:
- raw total energy (eV per atom) = -4.89
- distance to the lowest polymorph of the same formula (meV per atom) = 43
- formation energy (meV/atom) = 170
- SG = C2/m

Lattice parameters (Å, degrees): 5.786 8.913 9.289 61.33 73.02 52.51
Fractional coordinates of all 11 atoms:
Sc  0.000  0.312  0.376
Sc  0.000  0.688  0.624
Er  0.796  0.353  0.743
Er  0.204  0.904  0.743
Er  0.721  0.543  0.000
Er  0.500  0.204  0.591
Er  0.796  0.096  0.257
Er  0.204  0.647  0.257
Er  0.279  0.457  0.000
Er  0.500  0.796  0.409
Y  0.500  0.000  0.000

=====

No. 3
Compound: Cr2IrW
Source: the Alexandria database
Functional: GGA-PBE
Structure: optimized geometry

Summary:
- raw total energy (eV per atom) = -10.05
- formation energy (meV/atom) = 211
- SG = R3m

Lattice parameters (Å, degrees): 8.476 8.476 8.476 18.85 18.85 18.85
Fractional coordinates of all 4 atoms:
Cr  0.257  0.257  0.257
Cr  0.990  0.990  0.990
W  0.748  0.748  0.748
Ir  0.505  0.505  0.505

=====

No. 4
Compound: TaTi5Pt2Rh2
Source: the Alexandria database
Functional: GGA-PBE
Structure: optimized geometry

Summary:
- raw total energy (eV per atom) = -8.15
- formation energy (meV/atom) = -336
- SG = P4/mbm

Lattice parameters (Å, degrees): 2.939 10.814 10.814 90.00 90.00 90.00
Fractional coordinates of all 20 atoms:
Ti  0.500  0.841  0.859
Ti  0.500  0.141  0.841
Ti  0.500  0.641  0.659
Ti  0.500  0.000  0.500
Ti  0.500  0.159  0.141
Ti  0.500  0.500  0.000
Ti  0.500  0.359  0.341
Ti  0.500  0.859  0.159
Ti  0.500  0.659  0.359
Ti  0.500  0.341  0.641
Pt  0.000  0.350  0.850
Pt  0.000  0.650  0.150
Pt  0.000  0.850  0.650
Pt  0.000  0.150  0.350
Rh  0.000  0.858  0.358
Rh  0.000  0.642  0.858
Rh  0.000  0.142  0.642
Rh  0.000  0.358  0.142
Ta  0.000  0.000  0.000
Ta  0.000  0.500  0.500

=====

No. 5
Compound: Nb2Rh2S
Source: the Alexandria database
Functional: GGA-PBE
Structure: optimized geometry

Summary:
- raw total energy (eV per atom) = -7.70
- SG = P4/mmm

Lattice parameters (Å, degrees): 4.356 4.356 4.564 90.00 90.00 90.00
Fractional coordinates of all 5 atoms:
Nb  0.500  0.500  0.500
Nb  0.000  0.000  0.500
Rh  0.500  0.000  0.000
Rh  0.000  0.500  0.000
S  0.000  0.000  0.000

=====

No. 6
Compound: Tb5Tm6Sc2
Source: the Alexandria database
Functional: GGA-PBE
Structure: optimized geometry

Summary:
- raw total energy (eV per atom) = -4.70
- formation energy (meV/atom) = 121
- SG = Pbam

Lattice parameters (Å, degrees): 3.513 11.045 20.543 90.00 90.00 90.00
Fractional coordinates of all 26 atoms:
Tb  0.500  0.831  0.050
Tb  0.500  0.331  0.450
Tb  0.500  0.899  0.763
Tb  0.500  0.000  0.500
Tb  0.500  0.399  0.737
Tb  0.500  0.500  0.000
Tb  0.500  0.101  0.237
Tb  0.500  0.601  0.263
Tb  0.500  0.669  0.550
Tb  0.500  0.169  0.950
Tm  0.500  0.649  0.849
Tm  0.000  0.913  0.906
Tm  0.000  0.608  0.125
Tm  0.000  0.413  0.594
Tm  0.500  0.351  0.151
Tm  0.000  0.892  0.625
Tm  0.500  0.149  0.651
Tm  0.000  0.587  0.406
Tm  0.000  0.108  0.375
Tm  0.500  0.851  0.349
Tm  0.000  0.392  0.875
Tm  0.000  0.087  0.094
Sc  0.000  0.649  0.704
Sc  0.000  0.149  0.796
Sc  0.000  0.851  0.204
Sc  0.000  0.351  0.296

=====

No. 7
Compound: HgOsS2N
Source: the Alexandria database
Functional: GGA-PBE
Structure: optimized geometry

Summary:
- raw total energy (eV per atom) = -3.22
- distance to the lowest polymorph of the same formula (meV per atom) = 1947
- SG = P4/mmm

Lattice parameters (Å, degrees): 5.044 5.044 3.926 90.00 90.00 90.00
Fractional coordinates of all 5 atoms:
S  0.500  0.000  0.000
S  0.000  0.500  0.000
Os  0.500  0.500  0.500
Hg  0.000  0.000  0.000
N  0.000  0.000  0.500

=====

No. 8
Compound: MnCo2Sb
Source: the Alexandria database
Functional: GGA-PBE
Structure: optimized geometry

Summary:
- raw total energy (eV per atom) = -6.71
- SG = F-43m

Lattice parameters (Å, degrees): 4.251 4.251 4.251 60.00 60.00 60.00
Fractional coordinates of all 4 atoms:
Sb  0.250  0.250  0.250
Mn  0.500  0.500  0.500
Co  0.000  0.000  0.000
Co  0.750  0.750  0.750